Record 1
The following is a PBE-GGA calculation of a relaxed Sm3Y4Ho crystal, from Alexandria.

Output
Total energy: -5.392 eV/atom
N(E_F): 1.879 states/eV per atom
Offset from the most stable computed form: 170 meV/atom
Formation energy from the elements: 0.1821 eV per atom

Structure (POSCAR):
```
Sm3Y4Ho
1.0
3.395 0.000 -0.722
-0.607 6.082 -2.853
1.355 -4.184 14.714
Y Ho Sm
4 1 3
Direct
0.376 0.882 0.752
0.624 0.118 0.248
0.624 0.627 0.248
0.376 0.373 0.752
0.500 0.000 0.000
0.760 0.781 0.521
0.240 0.219 0.479
0.000 0.500 0.000
```

Record 2
The following is a PBE-GGA calculation of a relaxed TcAg2Ir crystal, from Alexandria.

Output
Total energy: -5.702 eV/atom
N(E_F): 1.176 states/eV per atom
Offset from the most stable computed form: 363 meV/atom
Formation energy from the elements: 0.5307 eV per atom

Structure (POSCAR):
```
TcAg2Ir
1.0
-2.273 -1.102 -1.002
0.154 0.308 2.695
-3.996 8.966 -0.795
Ir Tc Ag
1 1 2
Direct
0.500 0.500 0.250
0.500 0.500 0.750
0.000 0.000 0.001
0.000 0.000 0.499
```